A plane-wave DFT calculation with PBE was carried out for a geometry-optimized Pr4Sm3Tm4 structure.

Properties
Total DFT energy (no corrections) in eV/cell: -49.5
Density in g/cm³: 7.5
N(E_F) in states/eV/cell: 16.201
Formation enthalpy at 0 K in eV per atom: 0.153

a = 10.789 Å, b = 6.679 Å, c = 6.679 Å
α = 50.82°, β = 90.00°, γ = 90.00°
Fractional coordinates of all 11 atoms:
Pr 0.000 0.000 0.000
Pr 0.211 0.794 0.794
Pr 0.500 0.921 0.921
Pr 0.789 0.794 0.794
Sm 0.000 0.293 0.293
Sm 0.287 0.453 0.453
Sm 0.713 0.453 0.453
Tm 0.000 0.596 0.596
Tm 0.305 0.146 0.146
Tm 0.500 0.648 0.648
Tm 0.695 0.146 0.146

***

A plane-wave DFT calculation with PBE was carried out for a geometry-optimized LaDy2TmCd4 structure.

Properties
Total DFT energy (no corrections) in eV/cell: -24.7
Density in g/cm³: 8.3
N(E_F) in states/eV/cell: 8.975
Formation enthalpy at 0 K in eV per atom: -0.305

a = 9.303 Å, b = 9.303 Å, c = 9.303 Å
α = 33.34°, β = 33.34°, γ = 33.34°
Fractional coordinates of all 8 atoms:
La 0.000 0.000 0.000
Dy 0.248 0.248 0.248
Dy 0.752 0.752 0.752
Tm 0.500 0.500 0.500
Cd 0.127 0.127 0.127
Cd 0.379 0.379 0.379
Cd 0.621 0.621 0.621
Cd 0.873 0.873 0.873

***

A plane-wave DFT calculation with PBE was carried out for a geometry-optimized La2MgSnB structure.

Properties
Total DFT energy (no corrections) in eV/cell: -19.5
Density in g/cm³: 5.0
N(E_F) in states/eV/cell: 5.598
Formation enthalpy at 0 K in eV per atom: 0.520

a = 5.889 Å, b = 5.889 Å, c = 4.135 Å
α = 90.00°, β = 90.00°, γ = 90.00°
Fractional coordinates of all 5 atoms:
La 0.000 0.500 0.000
La 0.500 0.000 0.000
Mg 0.000 0.000 0.000
Sn 0.500 0.500 0.500
B 0.000 0.000 0.500

***

A plane-wave DFT calculation with PBE was carried out for a geometry-optimized Lu2S3 structure.

Properties
Total DFT energy (no corrections) in eV/cell: -251.0
Density in g/cm³: 7.2
Formation energy (no corrections) in eV/atom: -1.9891
N(E_F) in states/eV/cell: 0.000

a = 13.540 Å, b = 13.540 Å, c = 13.540 Å
α = 144.80°, β = 144.80°, γ = 50.63°
Fractional coordinates of all 40 atoms:
Lu 0.050 0.146 0.621
Lu 0.163 0.163 0.000
Lu 0.180 0.775 0.879
Lu 0.225 0.104 0.405
Lu 0.260 0.625 0.135
Lu 0.375 0.510 0.635
Lu 0.490 0.125 0.865
Lu 0.525 0.430 0.379
Lu 0.570 0.950 0.095
Lu 0.587 0.087 0.500
Lu 0.700 0.820 0.595
Lu 0.837 0.837 0.000
Lu 0.854 0.475 0.905
Lu 0.875 0.740 0.365
Lu 0.896 0.300 0.121
Lu 0.913 0.413 0.500
S 0.075 0.457 0.247
S 0.172 0.925 0.382
S 0.190 0.446 0.099
S 0.196 0.440 0.599
S 0.207 0.325 0.747
S 0.210 0.828 0.753
S 0.249 0.125 0.244
S 0.347 0.090 0.901
S 0.403 0.804 0.244
S 0.501 0.245 0.375
S 0.540 0.793 0.118
S 0.543 0.790 0.618
S 0.554 0.653 0.744
S 0.560 0.160 0.756
S 0.578 0.460 0.253
S 0.675 0.422 0.882
S 0.755 0.130 0.256
S 0.840 0.597 0.401
S 0.870 0.125 0.625
S 0.875 0.120 0.125
S 0.875 0.499 0.744
S 0.880 0.005 0.756
S 0.910 0.810 0.256
S 0.995 0.751 0.875

***

A plane-wave DFT calculation with PBE was carried out for a geometry-optimized AcGaPb structure.

Properties
Total DFT energy (no corrections) in eV/cell: -12.4
Density in g/cm³: 9.0
N(E_F) in states/eV/cell: 0.252
Formation enthalpy at 0 K in eV per atom: -0.510

a = 4.672 Å, b = 4.672 Å, c = 4.914 Å
α = 90.00°, β = 90.00°, γ = 120.00°
Fractional coordinates of all 3 atoms:
Ac 0.000 0.000 0.000
Ga 0.667 0.333 0.352
Pb 0.333 0.667 0.556

***

A plane-wave DFT calculation with PBE was carried out for a geometry-optimized La2MgS4 structure.

Properties
Total DFT energy (no corrections) in eV/cell: -163.8
Density in g/cm³: 3.8
Formation energy (no corrections) in eV/atom: -1.8557
N(E_F) in states/eV/cell: 0.000

a = 13.246 Å, b = 4.041 Å, c = 14.219 Å
α = 90.00°, β = 90.00°, γ = 90.00°
Fractional coordinates of all 28 atoms:
La 0.125 0.250 0.209
La 0.126 0.250 0.571
La 0.374 0.750 0.071
La 0.375 0.750 0.709
La 0.625 0.250 0.291
La 0.626 0.250 0.929
La 0.874 0.750 0.429
La 0.875 0.750 0.791
Mg 0.104 0.750 0.967
Mg 0.396 0.250 0.467
Mg 0.604 0.750 0.533
Mg 0.896 0.250 0.033
S 0.003 0.250 0.888
S 0.020 0.250 0.388
S 0.225 0.250 0.017
S 0.237 0.250 0.740
S 0.263 0.750 0.240
S 0.275 0.750 0.517
S 0.480 0.750 0.888
S 0.497 0.750 0.388
S 0.503 0.250 0.612
S 0.520 0.250 0.112
S 0.725 0.250 0.483
S 0.737 0.250 0.760
S 0.763 0.750 0.260
S 0.775 0.750 0.983
S 0.980 0.750 0.612
S 0.997 0.750 0.112

***

Computed total magnetization, in the same sequence as the records: 0.000, 0.516, 0.000, 0.000, 0.000, 0.000 μB per formula unit.